## P
{
  "formula": "LaCu3Rh",
  "functional": "GGA-PBE",
  "state": "optimized geometry",
  "lattice_angstrom": [[4.692, 0.000, 0.000], [0.000, 4.692, 0.000], [0.000, 0.000, 4.692]],
  "species": ["La", "Cu", "Cu", "Cu", "Rh"],
  "frac_coords": [[0.000, 0.000, 0.000], [0.000, 0.500, 0.500], [0.500, 0.000, 0.500], [0.500, 0.500, 0.000], [0.500, 0.500, 0.500]]
}

## Q
{
  "formula": "LaCu3Rh",
  "functional": "GGA-PBE",
  "state": "optimized geometry",
  "lattice_angstrom": [[4.994, 0.000, 0.000], [0.000, 4.994, 0.000], [0.000, 0.000, 4.994]],
  "species": ["La", "Cu", "Cu", "Cu", "Rh"],
  "frac_coords": [[0.000, 0.000, 0.000], [0.000, 0.000, 0.500], [0.000, 0.500, 0.000], [0.500, 0.000, 0.000], [0.500, 0.500, 0.500]]
}

Of them, the most stable is P and the least stable is Q.

## P
{
  "formula": "LaTbCuRh",
  "functional": "GGA-PBE",
  "state": "optimized geometry",
  "lattice_angstrom": [[7.098, 0.000, 0.000], [0.000, 7.098, 0.000], [0.000, 0.000, 7.098]],
  "species": ["La", "La", "La", "La", "Tb", "Tb", "Tb", "Tb", "Cu", "Cu", "Cu", "Cu", "Rh", "Rh", "Rh", "Rh"],
  "frac_coords": [[0.000, 0.000, 0.000], [0.000, 0.500, 0.500], [0.500, 0.000, 0.500], [0.500, 0.500, 0.000], [0.000, 0.000, 0.500], [0.000, 0.500, 0.000], [0.500, 0.000, 0.000], [0.500, 0.500, 0.500], [0.250, 0.250, 0.750], [0.250, 0.750, 0.250], [0.750, 0.250, 0.250], [0.750, 0.750, 0.750], [0.250, 0.250, 0.250], [0.250, 0.750, 0.750], [0.750, 0.250, 0.750], [0.750, 0.750, 0.250]]
}

## Q
{
  "formula": "LaTbCuRh",
  "functional": "GGA-PBE",
  "state": "optimized geometry",
  "lattice_angstrom": [[4.575, 0.000, 0.000], [0.000, 3.880, 0.000], [0.000, 0.000, 10.386]],
  "species": ["La", "La", "Tb", "Tb", "Cu", "Cu", "Rh", "Rh"],
  "frac_coords": [[0.000, 0.000, 0.000], [0.000, 0.500, 0.500], [0.500, 0.000, 0.721], [0.500, 0.500, 0.221], [0.500, 0.000, 0.428], [0.500, 0.500, 0.928], [0.000, 0.000, 0.268], [0.000, 0.500, 0.768]]
}

Of them, the most stable is Q and the least stable is P.

## P
{
  "formula": "LaCuRu",
  "functional": "GGA-PBE",
  "state": "optimized geometry",
  "lattice_angstrom": [[6.377, 0.000, 0.000], [0.000, 6.377, 0.000], [0.000, 0.000, 6.377]],
  "species": ["La", "La", "La", "La", "Cu", "Cu", "Cu", "Cu", "Ru", "Ru", "Ru", "Ru"],
  "frac_coords": [[0.000, 0.000, 0.000], [0.000, 0.500, 0.500], [0.500, 0.000, 0.500], [0.500, 0.500, 0.000], [0.000, 0.000, 0.500], [0.000, 0.500, 0.000], [0.500, 0.000, 0.000], [0.500, 0.500, 0.500], [0.250, 0.250, 0.250], [0.250, 0.750, 0.750], [0.750, 0.250, 0.750], [0.750, 0.750, 0.250]]
}

## Q
{
  "formula": "LaCuRu",
  "functional": "GGA-PBE",
  "state": "optimized geometry",
  "lattice_angstrom": [[6.430, 0.000, 0.000], [0.000, 6.430, 0.000], [0.000, 0.000, 6.430]],
  "species": ["La", "La", "La", "La", "Cu", "Cu", "Cu", "Cu", "Ru", "Ru", "Ru", "Ru"],
  "frac_coords": [[0.000, 0.000, 0.000], [0.000, 0.500, 0.500], [0.500, 0.000, 0.500], [0.500, 0.500, 0.000], [0.250, 0.250, 0.750], [0.250, 0.750, 0.250], [0.750, 0.250, 0.250], [0.750, 0.750, 0.750], [0.250, 0.250, 0.250], [0.250, 0.750, 0.750], [0.750, 0.250, 0.750], [0.750, 0.750, 0.250]]
}

Of them, the most stable is P and the least stable is Q.

## P
{
  "formula": "LaCuRu",
  "functional": "GGA-PBE",
  "state": "optimized geometry",
  "lattice_angstrom": [[4.240, 0.000, 0.000], [-2.120, 3.672, 0.000], [0.000, 0.000, 4.074]],
  "species": ["La", "Cu", "Ru"],
  "frac_coords": [[0.000, 0.000, 0.000], [0.333, 0.667, 0.500], [0.667, 0.333, 0.500]]
}

## Q
{
  "formula": "LaCuRu",
  "functional": "GGA-PBE",
  "state": "optimized geometry",
  "lattice_angstrom": [[5.154, 0.000, 0.000], [0.000, 5.390, 0.000], [0.000, 0.000, 8.011]],
  "species": ["La", "La", "La", "La", "Cu", "Cu", "Cu", "Cu", "Ru", "Ru", "Ru", "Ru"],
  "frac_coords": [[0.000, 0.250, 0.127], [0.000, 0.750, 0.873], [0.500, 0.250, 0.373], [0.500, 0.750, 0.627], [0.250, 0.250, 0.750], [0.250, 0.750, 0.250], [0.750, 0.250, 0.750], [0.750, 0.750, 0.250], [0.000, 0.000, 0.500], [0.000, 0.500, 0.500], [0.500, 0.000, 0.000], [0.500, 0.500, 0.000]]
}

Of them, the most stable is Q and the least stable is P.

## P
{
  "formula": "LaCu3Ru",
  "functional": "GGA-PBE",
  "state": "optimized geometry",
  "lattice_angstrom": [[4.960, 0.000, 0.000], [0.000, 4.960, 0.000], [0.000, 0.000, 4.960]],
  "species": ["La", "Cu", "Cu", "Cu", "Ru"],
  "frac_coords": [[0.000, 0.000, 0.000], [0.000, 0.000, 0.500], [0.000, 0.500, 0.000], [0.500, 0.000, 0.000], [0.500, 0.500, 0.500]]
}

## Q
{
  "formula": "LaCu3Ru",
  "functional": "GGA-PBE",
  "state": "optimized geometry",
  "lattice_angstrom": [[4.678, 0.000, 0.000], [0.000, 4.678, 0.000], [0.000, 0.000, 4.678]],
  "species": ["La", "Cu", "Cu", "Cu", "Ru"],
  "frac_coords": [[0.000, 0.000, 0.000], [0.000, 0.500, 0.500], [0.500, 0.000, 0.500], [0.500, 0.500, 0.000], [0.500, 0.500, 0.500]]
}

Of them, the most stable is Q and the least stable is P.

## P
{
  "formula": "LaCuRu2",
  "functional": "GGA-PBE",
  "state": "optimized geometry",
  "lattice_angstrom": [[4.323, 0.000, 0.000], [-2.162, 3.744, 0.000], [0.000, 0.000, 15.183]],
  "species": ["La", "La", "La", "Cu", "Cu", "Cu", "Ru", "Ru", "Ru", "Ru", "Ru", "Ru"],
  "frac_coords": [[0.000, 0.000, 0.000], [0.333, 0.667, 0.667], [0.667, 0.333, 0.333], [0.000, 0.000, 0.800], [0.333, 0.667, 0.467], [0.667, 0.333, 0.134], [0.000, 0.000, 0.191], [0.000, 0.000, 0.516], [0.333, 0.667, 0.183], [0.333, 0.667, 0.858], [0.667, 0.333, 0.524], [0.667, 0.333, 0.850]]
}

## Q
{
  "formula": "LaCuRu2",
  "functional": "GGA-PBE",
  "state": "optimized geometry",
  "lattice_angstrom": [[6.496, 0.000, 0.000], [0.000, 6.496, 0.000], [0.000, 0.000, 6.496]],
  "species": ["La", "La", "La", "La", "Cu", "Cu", "Cu", "Cu", "Ru", "Ru", "Ru", "Ru", "Ru", "Ru", "Ru", "Ru"],
  "frac_coords": [[0.000, 0.000, 0.000], [0.000, 0.500, 0.500], [0.500, 0.000, 0.500], [0.500, 0.500, 0.000], [0.000, 0.000, 0.500], [0.000, 0.500, 0.000], [0.500, 0.000, 0.000], [0.500, 0.500, 0.500], [0.250, 0.250, 0.250], [0.250, 0.250, 0.750], [0.250, 0.750, 0.250], [0.250, 0.750, 0.750], [0.750, 0.250, 0.250], [0.750, 0.250, 0.750], [0.750, 0.750, 0.250], [0.750, 0.750, 0.750]]
}

## R
{
  "formula": "LaCuRu2",
  "functional": "GGA-PBE",
  "state": "optimized geometry",
  "lattice_angstrom": [[4.286, 0.000, 0.000], [0.000, 4.286, 0.000], [0.000, 0.000, 18.010]],
  "species": ["La", "La", "La", "La", "Cu", "Cu", "Cu", "Cu", "Ru", "Ru", "Ru", "Ru", "Ru", "Ru", "Ru", "Ru"],
  "frac_coords": [[0.000, 0.000, 0.000], [0.000, 0.500, 0.250], [0.500, 0.000, 0.750], [0.500, 0.500, 0.500], [0.000, 0.000, 0.500], [0.000, 0.500, 0.750], [0.500, 0.000, 0.250], [0.500, 0.500, 0.000], [0.129, 0.250, 0.625], [0.250, 0.629, 0.875], [0.250, 0.871, 0.375], [0.371, 0.250, 0.125], [0.629, 0.750, 0.125], [0.750, 0.129, 0.375], [0.750, 0.371, 0.875], [0.871, 0.750, 0.625]]
}

Of them, the most stable is P and the least stable is Q.

## P
{
  "formula": "LaCuRu2",
  "functional": "GGA-PBE",
  "state": "optimized geometry",
  "lattice_angstrom": [[2.895, 0.000, 0.000], [0.000, 3.749, 0.000], [0.000, 0.000, 6.626]],
  "species": ["La", "Cu", "Ru", "Ru"],
  "frac_coords": [[0.000, 0.000, 0.000], [0.500, 0.500, 0.690], [0.000, 0.000, 0.475], [0.500, 0.500, 0.311]]
}

## Q
{
  "formula": "LaCuRu2",
  "functional": "GGA-PBE",
  "state": "optimized geometry",
  "lattice_angstrom": [[9.028, 0.000, 0.000], [0.000, 3.155, 0.000], [-0.981, 0.000, 4.917]],
  "species": ["La", "La", "Cu", "Cu", "Ru", "Ru", "Ru", "Ru"],
  "frac_coords": [[0.000, 0.000, 0.000], [0.500, 0.500, 0.000], [0.000, 0.500, 0.500], [0.500, 0.000, 0.500], [0.229, 0.000, 0.702], [0.271, 0.500, 0.298], [0.729, 0.500, 0.702], [0.771, 0.000, 0.298]]
}

Of them, the most stable is P and the least stable is Q.

## P
{
  "formula": "LaCu2Ru2",
  "functional": "GGA-PBE",
  "state": "optimized geometry",
  "lattice_angstrom": [[7.660, 0.000, 0.000], [0.000, 7.660, 0.000], [0.000, 0.000, 2.796]],
  "species": ["La", "La", "Cu", "Cu", "Cu", "Cu", "Ru", "Ru", "Ru", "Ru"],
  "frac_coords": [[0.000, 0.000, 0.000], [0.500, 0.500, 0.000], [0.168, 0.332, 0.000], [0.332, 0.832, 0.000], [0.668, 0.168, 0.000], [0.832, 0.668, 0.000], [0.122, 0.622, 0.500], [0.378, 0.122, 0.500], [0.622, 0.878, 0.500], [0.878, 0.378, 0.500]]
}

## Q
{
  "formula": "LaCu2Ru2",
  "functional": "GGA-PBE",
  "state": "optimized geometry",
  "lattice_angstrom": [[3.842, 0.000, 0.000], [0.000, 3.842, 0.000], [0.000, 0.000, 11.806]],
  "species": ["La", "La", "Cu", "Cu", "Cu", "Cu", "Ru", "Ru", "Ru", "Ru"],
  "frac_coords": [[0.000, 0.000, 0.000], [0.500, 0.500, 0.500], [0.000, 0.000, 0.396], [0.000, 0.000, 0.604], [0.500, 0.500, 0.104], [0.500, 0.500, 0.896], [0.000, 0.500, 0.250], [0.000, 0.500, 0.750], [0.500, 0.000, 0.250], [0.500, 0.000, 0.750]]
}

Of them, the most stable is Q and the least stable is P.